ZnCu2Tc | GGA-PBE | relaxed

The formation energy comes out at 0.146 eV per atom. Its magnetic moment is 0.00 μB/atom. Its density of states at the Fermi level is 5.70 states/eV/cell.

It has space group Cm (No. 8), with a = 8.830 Å, b = 2.536 Å, c = 4.789 Å, α = 90.00°, β = 98.64° and γ = 90.00°. The inequivalent atoms are Zn at (0.000, 0.000, 0.000), Cu at (0.005, 0.500, 0.507), Cu at (0.253, 0.000, 0.751) and Tc at (0.253, 0.500, 0.256).

***

LiZnRu2 | GGA-PBE | relaxed

The formation energy comes out at 0.124 eV per atom. Its magnetic moment is 0.00 μB/atom. Its density of states at the Fermi level is 7.18 states/eV/cell.

It has space group Imm2 (No. 44), with a = 3.068 Å, b = 4.197 Å, c = 8.151 Å, α = 90.00°, β = 90.00° and γ = 90.00°. The inequivalent atoms are Li at (0.000, 0.000, 0.000), Zn at (0.000, 0.500, 0.734), Ru at (0.000, 0.000, 0.495) and Ru at (0.000, 0.500, 0.251).

***

Ca2PrGe3Au12 | GGA-PBE | relaxed

The formation energy comes out at -0.158 eV per atom. Its magnetic moment is 0.00 μB/atom. Its density of states at the Fermi level is 14.03 states/eV/cell.

It has space group R-3m (No. 166, hexagonal axes), with a = 9.1991 Å, b = 9.1991 Å, c = 17.7610 Å, α = 90.00°, β = 90.00° and γ = 120.00°. The inequivalent atoms are Ca at (0.0000, 0.0000, 0.0940), Pr at (0.0000, 0.0000, 0.5000), Ge at (0.0000, 0.5000, 0.0000), Au at (0.0173, 0.5086, 0.3157) and Au at (0.0383, 0.5192, 0.8559).

***

Rb2HBr6F | GGA-PBE | relaxed

Its magnetic moment is 0.20 μB/atom. Its density of states at the Fermi level is 0.03 states/eV/cell.

It has space group I4/mmm (No. 139), with a = 7.566 Å, b = 7.566 Å, c = 11.131 Å, α = 90.00°, β = 90.00° and γ = 90.00°. The inequivalent atoms are Rb at (0.000, 0.500, 0.250), H at (0.000, 0.000, 0.000), Br at (0.000, 0.000, 0.305), Br at (0.201, 0.201, 0.000) and F at (0.000, 0.000, 0.500).

***

Ca3Ac2UN6 | GGA-PBE | relaxed

For the uncorrected formation energy, the calculation gives -1.1792 eV/atom. Its magnetic moment is 0.00 μB/atom.

It has space group C2/m (No. 12), with a = 6.401 Å, b = 11.284 Å, c = 6.169 Å, α = 90.00°, β = 109.89° and γ = 90.00°. The inequivalent atoms are Ca at (0.000, 0.000, 0.000), Ca at (0.000, 0.351, 0.000), Ac at (0.000, 0.168, 0.500), U at (0.000, 0.500, 0.500), N at (0.214, 0.360, 0.724) and N at (0.222, 0.500, 0.280).

***

CsRbI3 | GGA-PBE | relaxed

For the uncorrected formation energy, the calculation gives -0.8319 eV/atom. Its magnetic moment is 0.20 μB/atom. Its density of states at the Fermi level is 12.91 states/eV/cell.

It has space group Pm-3m (No. 221), with a = 7.172 Å, b = 7.172 Å, c = 7.172 Å, α = 90.00°, β = 90.00° and γ = 90.00°. The inequivalent atoms are Cs at (0.000, 0.000, 0.000), Rb at (0.500, 0.500, 0.500) and I at (0.000, 0.000, 0.500).

***

Hg2PtBr | GGA-PBE | relaxed

For the uncorrected formation energy, the calculation gives 0.1853 eV/atom. Its magnetic moment is 0.00 μB/atom. Its density of states at the Fermi level is 8.93 states/eV/cell.

It has space group R3m (No. 160, hexagonal axes), with a = 3.9435 Å, b = 3.9435 Å, c = 22.1401 Å, α = 90.00°, β = 90.00° and γ = 120.00°. The inequivalent atoms are Hg at (0.0000, 0.0000, 0.0000), Hg at (0.0000, 0.0000, 0.2423), Pt at (0.0000, 0.0000, 0.5055) and Br at (0.0000, 0.0000, 0.7731).

***

Zn3FeW | GGA-PBE | relaxed

The formation energy comes out at 1.374 eV per atom. Its magnetic moment is 0.00 μB/atom. Its density of states at the Fermi level is 10.28 states/eV/cell.

It has space group Pm-3m (No. 221), with a = 4.357 Å, b = 4.357 Å, c = 4.357 Å, α = 90.00°, β = 90.00° and γ = 90.00°. The inequivalent atoms are Zn at (0.000, 0.000, 0.500), Fe at (0.000, 0.000, 0.000) and W at (0.500, 0.500, 0.500).

***

ZrReP | GGA-PBE | relaxed

The formation energy comes out at -0.667 eV per atom. Its magnetic moment is 0.00 μB/atom. Its density of states at the Fermi level is 3.28 states/eV/cell.

It has space group C2/m (No. 12), with a = 9.640 Å, b = 3.266 Å, c = 6.783 Å, α = 90.00°, β = 105.71° and γ = 90.00°. The inequivalent atoms are Zr at (0.120, 0.000, 0.302), Re at (0.129, 0.500, 0.945) and P at (0.161, 0.000, 0.705).

***

Ac2Cd3Pb | GGA-PBE | relaxed

The formation energy comes out at -0.360 eV per atom. Its magnetic moment is 0.00 μB/atom. Its density of states at the Fermi level is 4.95 states/eV/cell.

It has space group Pmm2 (No. 25), with a = 4.068 Å, b = 5.154 Å, c = 8.909 Å, α = 90.00°, β = 90.00° and γ = 90.00°. The inequivalent atoms are Ac at (0.000, 0.000, 0.000), Ac at (0.000, 0.500, 0.497), Cd at (0.500, 0.000, 0.678), Cd at (0.500, 0.500, 0.151), Cd at (0.500, 0.500, 0.825) and Pb at (0.500, 0.000, 0.336).

***

VCoTeN2 | GGA-PBE | relaxed

For the uncorrected formation energy, the calculation gives 0.6102 eV/atom. Its magnetic moment is 0.38 μB/atom. Its density of states at the Fermi level is 7.34 states/eV/cell.

It has space group P4/mmm (No. 123), with a = 3.729 Å, b = 3.729 Å, c = 5.747 Å, α = 90.00°, β = 90.00° and γ = 90.00°. The inequivalent atoms are V at (0.000, 0.000, 0.000), Co at (0.500, 0.500, 0.500), Te at (0.000, 0.000, 0.500) and N at (0.000, 0.500, 0.000).

***

BaCrSn2 | GGA-PBE | relaxed

The formation energy comes out at -0.178 eV per atom. Its magnetic moment is 0.97 μB/atom. Its density of states at the Fermi level is 5.45 states/eV/cell.

It has space group P2_1/m (No. 11), with a = 4.720 Å, b = 7.635 Å, c = 6.840 Å, α = 90.00°, β = 110.13° and γ = 90.00°. The inequivalent atoms are Ba at (0.063, 0.250, 0.126), Cr at (0.211, 0.750, 0.424) and Sn at (0.347, 0.058, 0.692).

***

no.,total DFT energy (no corrections) (Ry/atom)
1,-0.3537
2,-0.3903
3,-0.2647
4,-0.1621
5,-0.5489
6,-0.1563
7,-0.1392
8,-0.2700
9,-0.6959
10,-0.2062
11,-0.4846
12,-0.3724